This record from Alexandria describes crystalline Hf2ZrNbN4 at its relaxed geometry. The functional is PBE-GGA.

total magnetic moment	0.000	Bohr magnetons per cell
space-group type	No. 10
raw formation energy	-1551	meV/atom
D(E_F)	2.65	states/eV per cell
E	-10.530	eV per atom

Structure (POSCAR):
```
Hf2ZrNbN4
1.0
-2.651 -1.346 1.205
-1.686 -1.271 -5.128
3.057 -4.189 2.047
N Nb Zr Hf
4 1 1 2
Direct
0.500 0.254 0.263 N
0.000 0.246 0.737 N
0.500 0.746 0.737 N
0.000 0.754 0.263 N
0.000 0.000 0.000 Nb
0.500 0.500 0.000 Zr
0.000 0.500 0.500 Hf
0.500 0.000 0.500 Hf
```